RbReTe2 | GGA-PBE | optimized geometry

Computed properties:
Its space-group type is No. 166. The size of the total moment is 0.442 μB/atom. The value obtained for the energy above the lowest structure with this stoichiometry is 0.124 eV/atom. For the energy relative to the elements, uncorrected, the calculation gives 0.72 eV/f.u.

Lattice parameters (Å, degrees): 10.381 10.381 10.381 22.25 22.25 22.25
Site moments in Bohr magnetons follow the coordinates.
Fractional positions:
1 Te 0.117 0.117 0.117  0.01
2 Te 0.883 0.883 0.883  0.01
3 Rb 0.000 0.000 0.000  0.01
4 Re 0.500 0.500 0.500  1.42